DFT (PBE+U) results for a geometry-optimized MnIrRhO6 structure.

a b c (Å): 5.1298 5.1298 8.9613
angles (deg): 90.00 90.00 120.00
Space group P-31c (No. 163)
Unique sites:
Mn: 0.0000 0.0000 0.0000
Ir: 0.3333 0.6667 0.2500
Rh: 0.3333 0.6667 0.7500
O: 0.0053 0.3546 0.1289

calculated volume: 204.2 Å³ per cell
crystal system: trigonal
total energy: -6.811 eV per atom